A plane-wave DFT calculation with GGA-PBE was carried out for a relaxed K2TaZn crystal.

The symmetry is P2/m, No. 10. The density of states at the Fermi level comes out at 4.0 states/eV/cell. The energy is -10.90 eV for the cell shown. Its mass density is 5.24 g/cm³.

Cell: 2.8547 6.2307 5.7935 Å, 90.00 92.91 90.00°
Atoms (fractional coordinates):
1 K 0.2363 0.0000 0.2558
2 K 0.7637 0.0000 0.7442
3 Ta 0.5000 0.5000 0.0000
4 Zn 0.0000 0.5000 0.5000